Record 1
DFT (PBE) results for a relaxed BSeBr3 crystal.

```
BSeBr3
1.0
-1.601 5.083 0.640
-4.575 -1.116 -2.576
-2.307 -1.314 4.665
B Se Br
1 1 3
Direct
0.500 0.500 0.500 B
0.000 0.000 0.000 Se
0.000 0.500 0.000 Br
0.000 0.000 0.500 Br
0.500 0.000 0.000 Br
```

**E_tot**: -2.01 eV/atom
**Formation energy from raw total energies**: 1022 meV/atom
**ρ**: 3.5 Mg/m³
**Polymorph energy (0 for the lowest one)**: 207 meV/atom
**Density of states at the Fermi level**: 5.4 states/eV/f.u.

=====

Record 2
DFT (PBE) results for a relaxed B2SeBr crystal.

```
B2SeBr
1.0
-1.499 5.215 2.126
-4.674 0.075 -3.480
-5.129 0.955 2.030
B Se Br
4 2 2
Direct
0.585 0.125 0.250 B
0.165 0.625 0.250 B
0.375 0.415 0.750 B
0.875 0.835 0.750 B
0.500 0.500 0.000 Se
0.250 0.750 0.500 Se
0.000 0.000 0.000 Br
0.750 0.250 0.500 Br
```

**E_tot**: -3.34 eV/atom
**Formation energy from raw total energies**: 1283 meV/atom
**ρ**: 4.7 Mg/m³
**Polymorph energy (0 for the lowest one)**: 0 meV/atom
**Density of states at the Fermi level**: 1.9 states/eV/f.u.

=====

Record 3
DFT (PBE) results for a relaxed SiBSe2Br crystal.

```
SiBSe2Br
1.0
-2.032 2.128 -3.440
3.266 -1.408 -2.801
-2.441 -3.824 -0.924
Si B Se Br
1 1 2 1
Direct
0.500 0.500 0.500 Si
0.000 0.000 0.000 B
0.000 0.500 0.000 Se
0.500 0.000 0.000 Se
0.000 0.000 0.500 Br
```

**E_tot**: -3.37 eV/atom
**Formation energy from raw total energies**: 779 meV/atom
**ρ**: 4.8 Mg/m³
**Polymorph energy (0 for the lowest one)**: 0 meV/atom
**Density of states at the Fermi level**: 2.1 states/eV/f.u.

=====

Record 4
DFT (PBE) results for a relaxed SiBSe2Br crystal.

```
SiBSe2Br
1.0
-2.915 1.911 -3.313
-3.767 -2.158 2.070
-0.720 4.175 3.042
Si B Se Br
1 1 2 1
Direct
0.000 0.000 0.000 Si
0.500 0.500 0.500 B
0.000 0.500 0.000 Se
0.500 0.000 0.000 Se
0.000 0.000 0.500 Br
```

**E_tot**: -3.10 eV/atom
**Formation energy from raw total energies**: 1044 meV/atom
**ρ**: 3.8 Mg/m³
**Polymorph energy (0 for the lowest one)**: 266 meV/atom
**Density of states at the Fermi level**: 1.8 states/eV/f.u.

=====

Record 5
DFT (PBE) results for a relaxed SnBSeBr2 crystal.

```
SnBSeBr2
1.0
4.711 0.000 0.000
0.000 4.711 0.000
0.000 0.000 4.901
B Se Sn Br
1 1 1 2
Direct
0.000 0.000 0.000 B
0.000 0.000 0.500 Se
0.500 0.500 0.500 Sn
0.000 0.500 0.000 Br
0.500 0.000 0.000 Br
```

**E_tot**: -3.16 eV/atom
**Formation energy from raw total energies**: 337 meV/atom
**ρ**: 5.6 Mg/m³
**Polymorph energy (0 for the lowest one)**: 0 meV/atom
**Density of states at the Fermi level**: 1.7 states/eV/f.u.

=====

Record 6
DFT (PBE) results for a relaxed SnBSeBr2 crystal.

```
SnBSeBr2
1.0
-4.033 2.368 -2.991
-3.814 -2.487 3.174
0.013 4.208 3.314
B Se Sn Br
1 1 1 2
Direct
0.500 0.500 0.500 B
0.000 0.000 0.500 Se
0.000 0.000 0.000 Sn
0.000 0.500 0.000 Br
0.500 0.000 0.000 Br
```

**E_tot**: -2.68 eV/atom
**Formation energy from raw total energies**: 820 meV/atom
**ρ**: 3.7 Mg/m³
**Polymorph energy (0 for the lowest one)**: 483 meV/atom
**Density of states at the Fermi level**: 1.5 states/eV/f.u.

=====

Record 7
DFT (PBE) results for a relaxed SnBSe2Br crystal.

```
SnBSe2Br
1.0
-2.530 -2.620 -3.817
4.097 -3.293 -0.456
-2.279 -3.364 3.819
B Se Sn Br
1 2 1 1
Direct
0.500 0.500 0.500 B
0.000 0.500 0.000 Se
0.500 0.000 0.000 Se
0.000 0.000 0.000 Sn
0.000 0.000 0.500 Br
```

**E_tot**: -2.84 eV/atom
**Formation energy from raw total energies**: 1024 meV/atom
**ρ**: 3.9 Mg/m³
**Polymorph energy (0 for the lowest one)**: 662 meV/atom
**Density of states at the Fermi level**: 1.3 states/eV/f.u.

=====

Record 8
DFT (PBE) results for a relaxed SnBSe2Br crystal.

```
SnBSe2Br
1.0
-4.279 -0.930 1.362
1.500 -3.770 2.137
0.742 2.637 4.130
B Se Sn Br
1 2 1 1
Direct
0.000 0.000 0.000 B
0.000 0.500 0.000 Se
0.500 0.000 0.000 Se
0.500 0.500 0.500 Sn
0.000 0.000 0.500 Br
```

**E_tot**: -3.50 eV/atom
**Formation energy from raw total energies**: 361 meV/atom
**ρ**: 5.9 Mg/m³
**Polymorph energy (0 for the lowest one)**: 0 meV/atom
**Density of states at the Fermi level**: 1.5 states/eV/f.u.